Here is a relaxed Na3Pm3VO8 crystal from Alexandria. Energies are from PBE+U.

Computed properties:
Crystal system   monoclinic

Unit cell a=6.8221 b=6.8221 c=6.8542 alpha=119.73 beta=119.73 gamma=60.65
Fractional coordinates of all 15 atoms:
Na1 0.0000 0.0000 0.0000
Na2 0.0000 0.5000 0.5000
Na3 0.5000 0.0000 0.5000
Pm1 0.0000 0.5000 0.0000
Pm2 0.5000 0.0000 0.0000
Pm3 0.5000 0.5000 0.5000
V1 0.0000 0.0000 0.5000
O1 0.2058 0.2058 0.7204
O2 0.2118 0.7731 0.2886
O3 0.2269 0.7882 0.7114
O4 0.2593 0.2593 0.2374
O5 0.7407 0.7407 0.7626
O6 0.7731 0.2118 0.2886
O7 0.7882 0.2269 0.7114
O8 0.7942 0.7942 0.2796



Here is a relaxed Na4Pm3VO8 crystal from Alexandria. Energies are from PBE+U.

Computed properties:
Crystal system   monoclinic

Unit cell a=6.8667 b=6.8667 c=6.8655 alpha=119.75 beta=119.75 gamma=60.04
Fractional coordinates of all 16 atoms:
Na1 0.0000 0.0000 0.0000
Na2 0.0000 0.5000 0.5000
Na3 0.5000 0.0000 0.5000
Na4 0.5000 0.5000 0.0000
Pm1 0.0000 0.0000 0.5000
Pm2 0.0000 0.5000 0.0000
Pm3 0.5000 0.0000 0.0000
V1 0.5000 0.5000 0.5000
O1 0.2391 0.2391 0.7590
O2 0.2627 0.2627 0.2471
O3 0.2661 0.7193 0.2811
O4 0.2807 0.7339 0.7189
O5 0.7193 0.2661 0.2811
O6 0.7339 0.2807 0.7189
O7 0.7373 0.7373 0.7529
O8 0.7609 0.7609 0.2410



Here is a relaxed NaPmW2O8 crystal from Alexandria. Energies are from PBE+U.

Computed properties:
Crystal system   tetragonal

Unit cell a=6.3119 b=6.3119 c=6.3119 alpha=106.52 beta=106.52 gamma=115.54
Fractional coordinates of all 12 atoms:
Na1 0.0000 0.0000 0.0000
Pm1 0.7500 0.2500 0.5000
W1 0.2500 0.7500 0.5000
W2 0.5000 0.5000 0.0000
O1 0.0760 0.3917 0.3157
O2 0.0760 0.7603 0.6843
O3 0.1477 0.3423 0.8054
O4 0.2397 0.9240 0.3157
O5 0.5369 0.3423 0.1946
O6 0.6083 0.9240 0.6843
O7 0.6577 0.4631 0.8054
O8 0.6577 0.8523 0.1946



Here is a relaxed NaPm2WO6 crystal from Alexandria. Energies are from PBE+U.

Computed properties:
Crystal system   triclinic

Unit cell a=5.7743 b=5.8071 c=5.9864 alpha=91.24 beta=117.85 gamma=119.70
Fractional coordinates of all 10 atoms:
Na1 0.0000 0.0000 0.0000
Pm1 0.5403 0.2693 0.8180
Pm2 0.5611 0.7856 0.3322
W1 0.9738 0.4854 0.4557
O1 0.0655 0.3920 0.1985
O2 0.0690 0.2321 0.6590
O3 0.4352 0.8341 0.6600
O4 0.5193 0.1290 0.1848
O5 0.8131 0.6775 0.1956
O6 0.8327 0.5878 0.6542



no.,E (eV/atom)
1,-6.866
2,-6.580
3,-7.326
4,-7.484